Record 1
A geometry-optimized TcAg2Hg structure, computed with GGA-PBE.

```
TcAg2Hg
1.0
1.454 0.840 9.677
-1.454 0.840 9.677
0.000 -1.679 9.677
Tc Ag Hg
1 2 1
Direct
0.000 0.000 0.000
0.496 0.496 0.496
0.746 0.746 0.746
0.250 0.250 0.250
```

Energy of formation: 1.72 eV per formula unit
E: -14.649 eV/f.u.
SG: R3m, No. 160


Record 2
A geometry-optimized LiBe2Ru structure, computed with GGA-PBE.

```
LiBe2Ru
1.0
4.004 -1.199 0.000
4.004 1.199 0.000
-0.400 0.000 4.775
Li Be Ru
1 2 1
Direct
0.000 0.000 0.000
0.244 0.244 0.716
0.756 0.756 0.284
0.500 0.500 0.500
```

Energy of formation: 0.33 eV per formula unit
E: -18.316 eV/f.u.
SG: C2/m, No. 12


Record 3
A geometry-optimized YZnPd3 structure, computed with GGA-PBE.

```
YZnPd3
1.0
-2.563 2.563 8.617
2.563 -2.563 8.617
2.563 2.563 -8.617
Y Zn Pd
2 2 6
Direct
0.112 0.112 0.000
0.888 0.888 0.000
0.250 0.750 0.500
0.500 0.500 0.000
0.373 0.127 0.754
0.373 0.620 0.246
0.380 0.627 0.754
0.523 0.023 0.500
0.873 0.627 0.246
0.977 0.477 0.500
```

Energy of formation: -1.66 eV per formula unit
E: -24.974 eV/f.u.
SG: I-4m2, No. 119
Energy above the most stable polymorph in this dataset: 0.000 eV per atom


Record 4
A geometry-optimized InSnH structure, computed with GGA-PBE.

```
InSnH
1.0
-2.164 2.164 3.875
2.164 -2.164 3.875
2.164 2.164 -3.875
In Sn H
1 1 1
Direct
0.000 0.000 0.000
0.498 0.498 0.000
0.260 0.260 0.000
```

E: -9.456 eV/f.u.
SG: I4mm, No. 107
Energy above the most stable polymorph in this dataset: 0.143 eV per atom


Record 5
A geometry-optimized Na2SnTeS5 structure, computed with GGA-PBE.

```
Na2SnTeS5
1.0
1.943 -9.003 0.000
1.943 9.003 0.000
0.000 0.000 13.390
Na Sn Te S
4 2 2 10
Direct
0.086 0.914 0.500
0.106 0.894 0.191
0.894 0.106 0.691
0.914 0.086 0.000
0.421 0.579 0.270
0.579 0.421 0.770
0.243 0.757 0.897
0.757 0.243 0.397
0.055 0.945 0.883
0.248 0.752 0.526
0.287 0.713 0.245
0.369 0.631 0.848
0.494 0.506 0.125
0.506 0.494 0.625
0.631 0.369 0.348
0.713 0.287 0.745
0.752 0.248 0.026
0.945 0.055 0.383
```

Formation energy (no corrections): -4.76 eV per formula unit
E: -35.178 eV/f.u.
SG: Cmc2_1, No. 36


Record 6
A geometry-optimized LiCa2Al12Ni3 structure, computed with GGA-PBE.

```
LiCa2Al12Ni3
1.0
4.318 2.493 5.899
-4.318 2.493 5.899
0.000 -4.986 5.899
Li Ca Al Ni
1 2 12 3
Direct
0.000 0.000 0.000
0.405 0.405 0.405
0.595 0.595 0.595
0.116 0.741 0.741
0.136 0.136 0.621
0.136 0.621 0.136
0.259 0.259 0.884
0.259 0.884 0.259
0.379 0.864 0.864
0.621 0.136 0.136
0.741 0.116 0.741
0.741 0.741 0.116
0.864 0.379 0.864
0.864 0.864 0.379
0.884 0.259 0.259
0.000 0.000 0.500
0.000 0.500 0.000
0.500 0.000 0.000
```

Energy of formation: 0.64 eV per formula unit
E: -67.535 eV/f.u.
SG: R-3m, No. 166


Record 7
A geometry-optimized BaMgIrO6 structure, computed with GGA-PBE.

```
BaMgIrO6
1.0
5.333 0.000 0.000
-2.667 4.619 0.000
0.000 0.000 5.703
Ba Mg Ir O
1 1 1 6
Direct
0.000 0.000 0.000
0.333 0.667 0.500
0.667 0.333 0.500
0.395 0.026 0.690
0.395 0.370 0.310
0.630 0.026 0.310
0.630 0.605 0.690
0.974 0.370 0.690
0.974 0.605 0.310
```

Formation energy (no corrections): -13.41 eV per formula unit
E: -55.542 eV/f.u.
SG: P312, No. 149


Record 8
A geometry-optimized RbIn2Br8 structure, computed with GGA-PBE.

```
RbIn2Br8
1.0
7.826 -4.105 0.000
7.826 4.105 0.000
-2.512 0.000 7.664
Rb In Br
1 2 8
Direct
0.000 0.000 0.000
0.178 0.178 0.658
0.822 0.822 0.342
0.160 0.674 0.297
0.198 0.198 0.359
0.326 0.840 0.703
0.327 0.327 0.899
0.673 0.673 0.101
0.674 0.160 0.297
0.802 0.802 0.641
0.840 0.326 0.703
```

Formation energy (no corrections): -9.22 eV per formula unit
E: -29.051 eV/f.u.
SG: C2/m, No. 12


Record 9
A geometry-optimized CrHg3 structure, computed with GGA-PBE.

```
CrHg3
1.0
5.074 0.000 0.000
0.000 6.153 0.000
0.000 0.000 5.478
Cr Hg
2 6
Direct
0.250 0.250 0.161
0.750 0.750 0.839
0.250 0.003 0.661
0.250 0.497 0.661
0.250 0.750 0.142
0.750 0.250 0.858
0.750 0.503 0.339
0.750 0.997 0.339
```

Energy of formation: 1.34 eV per formula unit
E: -9.193 eV/f.u.
SG: Pmmn, No. 59


Record 10
A geometry-optimized Hf6TcOs structure, computed with GGA-PBE.

```
Hf6TcOs
1.0
-2.316 2.316 7.392
2.316 -2.316 7.392
2.316 2.316 -7.392
Hf Tc Os
6 1 1
Direct
0.108 0.608 0.500
0.249 0.249 0.000
0.392 0.892 0.500
0.608 0.108 0.500
0.751 0.751 0.000
0.892 0.392 0.500
0.000 0.000 0.000
0.500 0.500 0.000
```

Energy of formation: -2.22 eV per formula unit
E: -83.535 eV/f.u.
SG: I4/mmm, No. 139


Record 11
A geometry-optimized Be2ZnCl structure, computed with GGA-PBE.

```
Be2ZnCl
1.0
0.000 3.197 3.197
3.197 0.000 3.197
3.197 3.197 0.000
Be Zn Cl
2 1 1
Direct
0.000 0.000 0.000
0.250 0.250 0.250
0.750 0.750 0.750
0.500 0.500 0.500
```

Formation energy (no corrections): 4.14 eV per formula unit
E: -6.429 eV/f.u.
SG: F-43m, No. 216
Energy above the most stable polymorph in this dataset: 0.988 eV per atom


Record 12
A geometry-optimized LaNdDyAg structure, computed with GGA-PBE.

```
LaNdDyAg
1.0
3.710 0.000 0.000
0.000 3.710 0.000
0.000 0.000 8.766
La Nd Dy Ag
1 1 1 1
Direct
0.000 0.000 0.000
0.500 0.500 0.703
0.500 0.500 0.288
0.000 0.000 0.479
```

Energy of formation: -0.47 eV per formula unit
E: -17.622 eV/f.u.
SG: P4mm, No. 99
Energy above the most stable polymorph in this dataset: 0.000 eV per atom